# 1
First-principles (PBE) data for PuTcAs2 after structural relaxation, as listed in the Alexandria database.

Calculated values
Energy of formation in meV per atom: -385
Total energy in eV per atom: -8.884
Crystal system: tetragonal
Energy above the most stable polymorph in this dataset in kcal/mol of atoms: 3.29

abc: 3.162 3.162 7.149
angles: 90.00 90.00 90.00
Last column: magnetic moment on the atom in μB.
Fractional positions:
Tc  0.500  0.500  0.000  0.16
As  0.000  0.000  0.207  -0.03
As  0.000  0.000  0.793  -0.03
Pu  0.500  0.500  0.500  5.59

# 2
First-principles (PBE) data for K3SiSe3 after structural relaxation, as listed in the Alexandria database.

Calculated values
E_form (uncorrected) in eV/f.u.: -5.5
Total energy in eV per atom: -3.521
Crystal system: orthorhombic
Energy above the most stable polymorph in this dataset in kcal/mol of atoms: 3.56

abc: 6.550 9.881 9.881
angles: 119.83 90.00 90.00
Last column: magnetic moment on the atom in μB.
Fractional positions:
Si  0.750  0.333  0.667  0.14
K  0.250  0.187  0.814  0.01
Se  0.750  0.200  0.402  0.04
Se  0.250  0.799  0.200  0.04
Se  0.250  0.800  0.598  0.04
K  0.750  0.813  0.186  0.01
K  0.250  0.625  0.812  0.01
K  0.250  0.187  0.375  0.01
K  0.750  0.813  0.625  0.01
Se  0.750  0.598  0.799  0.04
Se  0.250  0.402  0.201  0.04
K  0.750  0.375  0.188  0.01
Si  0.250  0.667  0.333  0.14
Se  0.750  0.201  0.800  0.04

# 3
First-principles (PBE) data for MgAsH after structural relaxation, as listed in the Alexandria database.

Calculated values
Total energy in eV per atom: -3.419
Crystal system: orthorhombic
Energy above the most stable polymorph in this dataset in kcal/mol of atoms: 0.35

abc: 7.366 4.711 7.250
angles: 90.00 90.00 90.00
Fractional positions:
H  0.365  0.250  0.490
As  0.707  0.250  0.149
As  0.293  0.750  0.851
Mg  0.855  0.250  0.483
H  0.635  0.750  0.510
H  0.135  0.750  0.990
As  0.207  0.250  0.351
As  0.793  0.750  0.649
Mg  0.145  0.750  0.517
Mg  0.355  0.250  0.017
Mg  0.645  0.750  0.983
H  0.865  0.250  0.010

# 4
First-principles (PBE) data for ErIn3Pd3 after structural relaxation, as listed in the Alexandria database.

Calculated values
Energy of formation in meV per atom: 67
Total energy in eV per atom: -3.984
Crystal system: cubic

abc: 7.250 7.250 7.250
angles: 90.00 90.00 90.00
Fractional positions:
In  0.500  0.750  0.000
Pd  0.500  0.000  0.750
In  0.000  0.500  0.250
Pd  0.000  0.750  0.500
In  0.250  0.000  0.500
In  0.750  0.000  0.500
Pd  0.000  0.250  0.500
In  0.000  0.500  0.750
Er  0.000  0.000  0.000
Pd  0.750  0.500  0.000
Er  0.500  0.500  0.500
Pd  0.250  0.500  0.000
Pd  0.500  0.000  0.250
In  0.500  0.250  0.000